{
  "formula": "ZrAl2Re2",
  "functional": "PBE",
  "state": "optimized geometry",
  "lattice_angstrom": [[7.744, 0.000, 0.000], [0.000, 7.744, 0.000], [0.000, 0.000, 2.740]],
  "species": ["Zr", "Zr", "Al", "Al", "Al", "Al", "Re", "Re", "Re", "Re"],
  "fractional_positions": [[0.000, 0.000, 0.000], [0.500, 0.500, 0.000], [0.157, 0.343, 0.500], [0.343, 0.843, 0.500], [0.657, 0.157, 0.500], [0.843, 0.657, 0.500], [0.139, 0.639, 0.000], [0.361, 0.139, 0.000], [0.639, 0.861, 0.000], [0.861, 0.361, 0.000]],
  "e_form_ev_per_atom": -0.073
}

***

{
  "formula": "Mg2ScCu",
  "functional": "PBE",
  "state": "optimized geometry",
  "lattice_angstrom": [[-2.012, 2.012, 10.392], [2.012, -2.012, 10.392], [2.012, 2.012, -10.392]],
  "species": ["Mg", "Mg", "Mg", "Mg", "Sc", "Sc", "Cu", "Cu"],
  "fractional_positions": [[0.109, 0.625, 0.984], [0.375, 0.359, 0.484], [0.641, 0.125, 0.016], [0.875, 0.891, 0.516], [0.250, 0.750, 0.500], [0.500, 0.500, 0.000], [0.000, 0.000, 0.000], [0.750, 0.250, 0.500]],
  "e_form_ev_per_atom": 0.221
}

***

{
  "formula": "SrZn2Ir",
  "functional": "PBE",
  "state": "optimized geometry",
  "lattice_angstrom": [[3.276, 0.000, 0.000], [0.000, 3.523, 0.000], [0.000, 0.000, 7.143]],
  "species": ["Sr", "Zn", "Zn", "Ir"],
  "fractional_positions": [[0.000, 0.000, 0.000], [0.000, 0.000, 0.563], [0.500, 0.500, 0.342], [0.500, 0.500, 0.702]],
  "e_form_ev_per_atom": -0.066
}

***

{
  "formula": "Ta7Te",
  "functional": "PBE",
  "state": "optimized geometry",
  "lattice_angstrom": [[0.000, 4.222, 4.222], [4.222, 0.000, 4.222], [4.222, 4.222, 0.000]],
  "species": ["Ta", "Ta", "Ta", "Ta", "Ta", "Ta", "Ta", "Te"],
  "fractional_positions": [[0.000, 0.000, 0.000], [0.000, 0.000, 0.500], [0.000, 0.500, 0.000], [0.000, 0.500, 0.500], [0.500, 0.000, 0.000], [0.500, 0.000, 0.500], [0.500, 0.500, 0.000], [0.500, 0.500, 0.500]],
  "energy_ev_per_atom": -10.57
}

***

{
  "formula": "MnTlSe",
  "functional": "PBE",
  "state": "optimized geometry",
  "lattice_angstrom": [[1.787, 1.032, 12.466], [-1.787, 1.032, 12.466], [0.000, -2.063, 12.466]],
  "species": ["Mn", "Mn", "Tl", "Tl", "Se", "Se"],
  "fractional_positions": [[0.153, 0.153, 0.153], [0.847, 0.847, 0.847], [0.372, 0.372, 0.372], [0.628, 0.628, 0.628], [0.215, 0.215, 0.215], [0.785, 0.785, 0.785]],
  "energy_ev_per_atom": -5.09
}

***

{
  "formula": "Na3CePm2O6",
  "functional": "PBE",
  "state": "optimized geometry",
  "lattice_angstrom": [[3.090, -5.352, 0.000], [3.090, 5.352, 0.000], [-2.061, 0.000, 5.632]],
  "species": ["Na", "Na", "Na", "Ce", "Pm", "Pm", "O", "O", "O", "O", "O", "O"],
  "fractional_positions": [[0.000, 0.000, 0.000], [0.334, 0.666, 0.000], [0.666, 0.334, 0.000], [0.500, 0.500, 0.500], [0.167, 0.833, 0.500], [0.833, 0.167, 0.500], [0.095, 0.428, 0.284], [0.239, 0.239, 0.716], [0.428, 0.095, 0.284], [0.572, 0.905, 0.716], [0.761, 0.761, 0.284], [0.905, 0.572, 0.716]],
  "energy_ev_per_atom": -6.72
}

***

{
  "formula": "MgBe3S",
  "functional": "PBE",
  "state": "optimized geometry",
  "lattice_angstrom": [[4.547, 0.000, 0.000], [0.000, 4.547, 0.000], [0.000, 0.000, 4.547]],
  "species": ["Mg", "Be", "Be", "Be", "S"],
  "fractional_positions": [[0.000, 0.000, 0.000], [0.000, 0.000, 0.500], [0.000, 0.500, 0.000], [0.500, 0.000, 0.000], [0.500, 0.500, 0.500]],
  "energy_ev_per_atom": -1.72
}

***

{
  "formula": "Fe2MoCl",
  "functional": "PBE",
  "state": "optimized geometry",
  "lattice_angstrom": [[4.258, -1.420, 0.000], [4.258, 1.420, 0.000], [-1.425, 0.000, 4.652]],
  "species": ["Fe", "Fe", "Mo", "Cl"],
  "fractional_positions": [[0.000, 0.000, 0.000], [0.740, 0.740, 0.169], [0.514, 0.514, 0.474], [0.280, 0.280, 0.670]],
  "energy_ev_per_atom": -6.84
}